1.
# Sr3InO

Crystalline Sr3InO at its relaxed geometry (GGA-PBE, Alexandria via LeMat-Bulk).

```
data_Sr3InO
_cell_length_a 6.248
_cell_length_b 7.415
_cell_length_c 7.417
_cell_angle_alpha 60.01
_cell_angle_beta 89.57
_cell_angle_gamma 89.38
_space_group_name_H-M_alt 'P 1'
_space_group_IT_number 1
loop_
_space_group_symop_operation_xyz
'x,y,z'
loop_
_atom_site_label
_atom_site_type_symbol
_atom_site_fract_x
_atom_site_fract_y
_atom_site_fract_z
_atom_site_occupancy
Sr1 Sr 0.246 0.159 0.159 1
Sr2 Sr 0.251 0.159 0.682 1
Sr3 Sr 0.253 0.682 0.159 1
Sr4 Sr 0.747 0.318 0.841 1
Sr5 Sr 0.749 0.841 0.318 1
Sr6 Sr 0.754 0.841 0.841 1
In1 In 0.250 0.667 0.666 1
In2 In 0.750 0.333 0.334 1
O1 O 0.000 0.000 0.000 1
O2 O 0.500 0.000 0.000 1
```


2.
# BaCrSe GGA-PBE optimized geometry
# offset from the most stable computed form	0.469	eV/atom
data_BaCrSe
_cell_length_a 5.096
_cell_length_b 5.096
_cell_length_c 5.096
_cell_angle_alpha 60.00
_cell_angle_beta 60.00
_cell_angle_gamma 60.00
_space_group_name_H-M_alt 'P 1'
_space_group_IT_number 1
loop_
_space_group_symop_operation_xyz
'x,y,z'
loop_
_atom_site_label
_atom_site_type_symbol
_atom_site_fract_x
_atom_site_fract_y
_atom_site_fract_z
_atom_site_occupancy
Ba1 Ba 0.000 0.000 0.000 1
Cr1 Cr 0.250 0.250 0.250 1
Se1 Se 0.500 0.500 0.500 1


| no. | formation energy (no corrections) (eV/atom) |
| --- | --- |
| 1 | -1.273 |
| 2 | -0.074 |